Entry from OQMD: an optimized crystal structure of NdDyNO (PBE).

Calculated values
The total magnetization is 0.002 μB per atom. As for the energy above the most stable polymorph in this dataset: 5.8 kJ per mole of atoms. As for the total DFT energy (no corrections): -7.76 eV per atom.

Lattice parameters (Å, degrees): 4.0539 5.0386 7.0172 90.00 90.00 90.00
Positions (direct):
O: 0.5000 0.9373 0.8474
Dy: 0.5000 0.4390 0.8300
Dy: 0.5000 0.9390 0.1700
N: 0.0000 0.9392 0.3216
Nd: 0.0000 0.9385 0.6636
N: 0.0000 0.4392 0.6784
Nd: 0.0000 0.4385 0.3364
O: 0.5000 0.4373 0.1526



Entry from OQMD: an optimized crystal structure of NdDyNO (PBE).

Calculated values
The total magnetization is 0.001 μB per atom. As for the energy above the most stable polymorph in this dataset: 3.0 kJ per mole of atoms. As for the total DFT energy (no corrections): -7.79 eV per atom.

Lattice parameters (Å, degrees): 6.7661 8.2163 5.0355 90.00 90.00 90.00
Positions (direct):
O: 0.5870 0.1429 0.5506
Nd: 0.0687 0.8745 0.0505
Nd: 0.4313 0.8745 0.5505
Dy: 0.0845 0.3776 0.0506
Dy: 0.4155 0.3776 0.5506
Nd: 0.9313 0.1255 0.5505
O: 0.0870 0.8571 0.5506
Dy: 0.5845 0.6224 0.0506
Nd: 0.5687 0.1255 0.0505
O: 0.4130 0.8571 0.0506
N: 0.0786 0.3828 0.5507
N: 0.5786 0.6172 0.5507
Dy: 0.9155 0.6224 0.5506
O: 0.9130 0.1429 0.0506
N: 0.9214 0.6172 0.0507
N: 0.4214 0.3828 0.0507



Entry from OQMD: an optimized crystal structure of NdDyNO (PBE).

Calculated values
The total magnetization is 0.001 μB per atom. As for the energy above the most stable polymorph in this dataset: 1.4 kJ per mole of atoms. As for the total DFT energy (no corrections): -7.80 eV per atom.

Lattice parameters (Å, degrees): 4.0577 4.9831 7.0178 90.00 90.00 90.00
Positions (direct):
N: 0.0000 0.9381 0.3447
Nd: 0.5000 0.9386 0.1647
Dy: 0.0000 0.4384 0.3344
N: 0.0000 0.4381 0.6553
O: 0.5000 0.9390 0.8089
Nd: 0.5000 0.4386 0.8353
Dy: 0.0000 0.9384 0.6656
O: 0.5000 0.4390 0.1911



Entry from OQMD: an optimized crystal structure of Dy4N3O (PBE).

Calculated values
The total magnetization is 0.000 μB per atom. As for the total DFT energy (no corrections): -8.10 eV per atom.

Lattice parameters (Å, degrees): 4.8593 4.8593 4.8593 90.00 90.00 90.00
Positions (direct):
Dy: 0.0000 0.5000 0.0000
N: 0.5000 0.0000 0.5000
Dy: 0.5000 0.5000 0.5000
N: 0.5000 0.5000 0.0000
O: 0.0000 0.0000 0.0000
Dy: 0.0000 0.0000 0.5000
N: 0.0000 0.5000 0.5000
Dy: 0.5000 0.0000 0.0000



Entry from OQMD: an optimized crystal structure of DyPaNO (PBE).

Calculated values
The total magnetization is 0.002 μB per atom. As for the energy above the most stable polymorph in this dataset: 35.2 kJ per mole of atoms. As for the total DFT energy (no corrections): -8.02 eV per atom.

Lattice parameters (Å, degrees): 4.2197 4.2197 8.0706 90.00 90.00 90.00
Positions (direct):
Dy: 0.2500 0.2500 0.1085
N: 0.7500 0.7500 0.3610
Pa: 0.2500 0.7500 0.5000
O: 0.2500 0.7500 0.0000
N: 0.2500 0.2500 0.6390
Pa: 0.7500 0.2500 0.5000
O: 0.7500 0.2500 0.0000
Dy: 0.7500 0.7500 0.8915



Entry from OQMD: an optimized crystal structure of DyPaNO (PBE).

Calculated values
The total magnetization is 0.250 μB per atom. As for the energy above the most stable polymorph in this dataset: 59.3 kJ per mole of atoms. As for the total DFT energy (no corrections): -7.76 eV per atom.

Lattice parameters (Å, degrees): 3.9396 3.9396 8.4356 90.00 90.00 90.00
Positions (direct):
Dy: 0.5000 0.5000 0.5000
N: 0.5000 0.0000 0.3142
Dy: 0.0000 0.0000 0.5000
N: 0.0000 0.5000 0.6858
O: 0.0000 0.0000 0.0000
Pa: 0.5000 0.0000 0.8438
O: 0.5000 0.5000 0.0000
Pa: 0.0000 0.5000 0.1562